ZrAl3Ni: relaxed, GGA-PBE.

Output
The calculation puts the size of the total moment at 0.0 μB per formula unit. The total energy comes out at -26.17 eV per formula unit. Its crystal system is orthorhombic.

a = 5.6044 Å, b = 7.2893 Å, c = 4.3687 Å
α = 90.00°, β = 90.00°, γ = 90.00°
Fractional positions:
Zr: 0.0000 0.0000 0.0000
Zr: 0.5000 0.5000 0.0000
Al: 0.0000 0.5000 0.0000
Al: 0.2500 0.2500 0.5000
Al: 0.2500 0.7500 0.5000
Al: 0.5000 0.0000 0.0000
Al: 0.7500 0.2500 0.5000
Al: 0.7500 0.7500 0.5000
Ni: 0.0000 0.5000 0.5000
Ni: 0.5000 0.0000 0.5000